No. 1
# GeSeF2

GeSeF2 after structural relaxation (PBE, the Alexandria database).

Lattice parameters (Å, degrees): 3.0025 3.0025 24.3597 90.00 90.00 120.00
Space group R-3m (No. 166, hexagonal axes)
Asymmetric unit:
Ge1 0.0000 0.0000 0.0000 (multiplicity 3)
Se1 0.0000 0.0000 0.5000 (multiplicity 3)
F1 0.0000 0.0000 0.4182 (multiplicity 6)

energy relative to the lowest polymorph listed for this composition	44	meV/atom
E_tot	-3.82	eV per atom
formation energy without anion corrections	-3.439	eV/f.u.
DOS(E_F)	1.08	states/eV/f.u.
magnetic moment	0.000	μB/f.u.

=====

No. 2
# KZn2Co2

KZn2Co2 after structural relaxation (PBE, the Alexandria database).

Lattice parameters (Å, degrees): 7.859 7.859 2.632 90.00 90.00 90.00
Space group P4/mbm (No. 127)
Asymmetric unit:
K1 0.000 0.000 0.000 (multiplicity 2)
Zn1 0.179 0.321 0.500 (multiplicity 4)
Co1 0.103 0.603 0.000 (multiplicity 4)

energy relative to the lowest polymorph listed for this composition	0	meV/atom
E_tot	-3.24	eV per atom
DOS(E_F)	4.60	states/eV/f.u.
energy of formation from the pure elements	328	meV/atom
magnetic moment	2.744	μB/f.u.

=====

No. 3
# RbNi3Sn

RbNi3Sn after structural relaxation (PBE, the Alexandria database).

Lattice parameters (Å, degrees): 4.713 4.713 4.713 90.00 90.00 90.00
Space group Pm-3m (No. 221)
Asymmetric unit:
Rb1 0.000 0.000 0.000 (multiplicity 1)
Ni1 0.000 0.000 0.500 (multiplicity 3)
Sn1 0.500 0.500 0.500 (multiplicity 1)

energy relative to the lowest polymorph listed for this composition	1103	meV/atom
E_tot	-2.61	eV per atom
DOS(E_F)	4.72	states/eV/f.u.
energy of formation from the pure elements	1852	meV/atom
magnetic moment	0.000	μB/f.u.

=====

No. 4
# Ce12OsRh6

Ce12OsRh6 after structural relaxation (PBE, the Alexandria database).

Lattice parameters (Å, degrees): 12.1159 12.1159 12.1790 90.00 90.00 120.00
Space group R-3 (No. 148, hexagonal axes)
Asymmetric unit:
Ce1 0.0200 0.2082 0.3930 (multiplicity 18)
Ce2 0.0590 0.2107 0.8761 (multiplicity 18)
Os1 0.0000 0.0000 0.0000 (multiplicity 3)
Rh1 0.0363 0.2679 0.6405 (multiplicity 18)

E_tot	-7.04	eV per atom
DOS(E_F)	58.91	states/eV/f.u.
energy of formation from the pure elements	-380	meV/atom
magnetic moment	10.179	μB/f.u.

=====

No. 5
# SrMn2Tl

SrMn2Tl after structural relaxation (PBE, the Alexandria database).

Lattice parameters (Å, degrees): 3.518 3.966 7.198 90.00 90.00 90.00
Space group Pmmm (No. 47)
Asymmetric unit:
Sr1 0.000 0.000 0.000 (multiplicity 1)
Mn1 0.500 0.500 0.313 (multiplicity 2)
Tl1 0.000 0.000 0.500 (multiplicity 1)

energy relative to the lowest polymorph listed for this composition	164	meV/atom
E_tot	-5.04	eV per atom
DOS(E_F)	5.12	states/eV/f.u.
energy of formation from the pure elements	552	meV/atom
magnetic moment	7.911	μB/f.u.

=====

No. 6
# CePuPa2Pt4

CePuPa2Pt4 after structural relaxation (PBE, the Alexandria database).

Lattice parameters (Å, degrees): 8.128 8.185 11.658 90.00 90.00 90.00
Space group Fmmm (No. 69)
Asymmetric unit:
Ce1 0.000 0.000 0.000 (multiplicity 4)
Pu1 0.000 0.000 0.500 (multiplicity 4)
Pa1 0.250 0.250 0.250 (multiplicity 8)
Pt1 0.000 0.000 0.251 (multiplicity 8)
Pt2 0.250 0.250 0.000 (multiplicity 8)

E_tot	-8.80	eV per atom
DOS(E_F)	18.09	states/eV/f.u.
energy of formation from the pure elements	-870	meV/atom
magnetic moment	7.097	μB/f.u.

=====

No. 7
# NaGa4Se7

NaGa4Se7 after structural relaxation (PBE, the Alexandria database).

Lattice parameters (Å, degrees): 15.466 6.759 6.345 90.00 90.00 90.00
Space group Pmn2_1 (No. 31)
Asymmetric unit:
Na1 0.000 0.015 0.000 (multiplicity 2)
Ga1 0.123 0.331 0.567 (multiplicity 4)
Ga2 0.243 0.816 0.545 (multiplicity 4)
Se1 0.000 0.124 0.472 (multiplicity 2)
Se2 0.112 0.662 0.419 (multiplicity 4)
Se3 0.125 0.347 0.950 (multiplicity 4)
Se4 0.241 0.832 0.941 (multiplicity 4)

E_tot	-3.74	eV per atom
formation energy without anion corrections	-7.035	eV/f.u.
DOS(E_F)	7.89	states/eV/f.u.
magnetic moment	0.906	μB/f.u.

=====

No. 8
# CaInBi2

CaInBi2 after structural relaxation (PBE, the Alexandria database).

Lattice parameters (Å, degrees): 4.951 4.951 4.903 90.00 90.00 90.00
Space group P4/mmm (No. 123)
Asymmetric unit:
Ca1 0.000 0.000 0.000 (multiplicity 1)
In1 0.500 0.500 0.000 (multiplicity 1)
Bi1 0.000 0.500 0.500 (multiplicity 2)

E_tot	-3.53	eV per atom
DOS(E_F)	0.76	states/eV/f.u.
energy of formation from the pure elements	-401	meV/atom
magnetic moment	0.000	μB/f.u.

=====

No. 9
# LiPrGe2Ru

LiPrGe2Ru after structural relaxation (PBE, the Alexandria database).

Lattice parameters (Å, degrees): 4.240 4.240 10.488 90.00 90.00 90.00
Space group I-4m2 (No. 119)
Asymmetric unit:
Li1 0.000 0.000 0.000 (multiplicity 2)
Pr1 0.000 0.500 0.750 (multiplicity 2)
Ge1 0.000 0.500 0.123 (multiplicity 4)
Ru1 0.000 0.000 0.500 (multiplicity 2)

E_tot	-5.58	eV per atom
DOS(E_F)	3.53	states/eV/f.u.
energy of formation from the pure elements	-536	meV/atom
magnetic moment	0.000	μB/f.u.

=====

No. 10
# TlSi2Au

TlSi2Au after structural relaxation (PBE, the Alexandria database).

Lattice parameters (Å, degrees): 2.982 5.337 10.376 90.00 90.00 90.00
Space group Immm (No. 71)
Asymmetric unit:
Tl1 0.000 0.000 0.000 (multiplicity 2)
Si1 0.000 0.500 0.215 (multiplicity 4)
Au1 0.000 0.000 0.500 (multiplicity 2)

energy relative to the lowest polymorph listed for this composition	284	meV/atom
E_tot	-3.67	eV per atom
formation energy without anion corrections	1.814	eV/f.u.
DOS(E_F)	1.23	states/eV/f.u.
magnetic moment	0.000	μB/f.u.

=====

No. 11
# TlIrPtW2

TlIrPtW2 after structural relaxation (PBE, the Alexandria database).

Lattice parameters (Å, degrees): 4.746 4.746 5.042 90.00 90.00 90.00
Space group P4/mmm (No. 123)
Asymmetric unit:
Tl1 0.000 0.000 0.000 (multiplicity 1)
Ir1 0.500 0.500 0.500 (multiplicity 1)
Pt1 0.500 0.500 0.000 (multiplicity 1)
W1 0.000 0.500 0.500 (multiplicity 2)

E_tot	-7.00	eV per atom
DOS(E_F)	7.16	states/eV/f.u.
energy of formation from the pure elements	1638	meV/atom
magnetic moment	0.001	μB/f.u.

=====

No. 12
# MnNiAu

MnNiAu after structural relaxation (PBE, the Alexandria database).

Lattice parameters (Å, degrees): 4.2538 4.2538 2.7670 90.00 90.00 120.00
Space group P3m1 (No. 156)
Asymmetric unit:
Mn1 0.0000 0.0000 0.0000 (multiplicity 1)
Ni1 0.6667 0.3333 0.1831 (multiplicity 1)
Au1 0.3333 0.6667 0.5889 (multiplicity 1)

energy relative to the lowest polymorph listed for this composition	115	meV/atom
E_tot	-6.00	eV per atom
DOS(E_F)	1.93	states/eV/f.u.
energy of formation from the pure elements	77	meV/atom
magnetic moment	4.246	μB/f.u.

=====

No. 13
# Fe2CuTe

Fe2CuTe after structural relaxation (PBE, the Alexandria database).

Lattice parameters (Å, degrees): 3.138 4.001 5.150 90.00 107.00 90.00
Space group Pm (No. 6)
Asymmetric unit:
Fe1 0.000 0.000 0.000 (multiplicity 1)
Fe2 0.144 0.500 0.275 (multiplicity 1)
Cu1 0.437 0.500 0.860 (multiplicity 1)
Te1 0.733 0.000 0.469 (multiplicity 1)

E_tot	-5.67	eV per atom
formation energy without anion corrections	1.492	eV/f.u.
DOS(E_F)	3.12	states/eV/f.u.
magnetic moment	4.840	μB/f.u.

=====

No. 14
# Pr2GdCd

Pr2GdCd after structural relaxation (PBE, the Alexandria database).

Lattice parameters (Å, degrees): 3.6665 3.6665 33.5715 90.00 90.00 120.00
Space group R-3m (No. 166, hexagonal axes)
Asymmetric unit:
Pr1 0.0000 0.0000 0.2451 (multiplicity 6)
Gd1 0.0000 0.0000 0.0000 (multiplicity 3)
Cd1 0.0000 0.0000 0.5000 (multiplicity 3)

energy relative to the lowest polymorph listed for this composition	90	meV/atom
E_tot	-6.19	eV per atom
DOS(E_F)	4.89	states/eV/f.u.
energy of formation from the pure elements	-51	meV/atom
magnetic moment	7.146	μB/f.u.

=====

No. 15
# BaLi2HPt

BaLi2HPt after structural relaxation (PBE, the Alexandria database).

Lattice parameters (Å, degrees): 4.199 11.253 7.894 90.00 90.00 90.00
Space group Cmcm (No. 63)
Asymmetric unit:
Ba1 0.000 0.051 0.250 (multiplicity 4)
Li1 0.000 0.329 0.058 (multiplicity 8)
H1 0.000 0.500 0.000 (multiplicity 4)
Pt1 0.000 0.226 0.750 (multiplicity 4)

energy relative to the lowest polymorph listed for this composition	0	meV/atom
E_tot	-3.52	eV per atom
DOS(E_F)	1.56	states/eV/f.u.
magnetic moment	0.000	μB/f.u.

=====

No. 16
# MnPt3C

MnPt3C after structural relaxation (PBE, the Alexandria database).

Lattice parameters (Å, degrees): 4.189 4.189 4.189 90.00 90.00 90.00
Space group Pm-3m (No. 221)
Asymmetric unit:
Mn1 0.000 0.000 0.000 (multiplicity 1)
Pt1 0.000 0.500 0.500 (multiplicity 3)
C1 0.500 0.500 0.500 (multiplicity 1)

E_tot	-7.03	eV per atom
DOS(E_F)	4.79	states/eV/f.u.
energy of formation from the pure elements	271	meV/atom
magnetic moment	5.091	μB/f.u.

=====

No. 17
# LiMo2Pt2

LiMo2Pt2 after structural relaxation (PBE, the Alexandria database).

Lattice parameters (Å, degrees): 7.920 7.920 2.710 90.00 90.00 90.00
Space group P4/mbm (No. 127)
Asymmetric unit:
Li1 0.000 0.000 0.000 (multiplicity 2)
Mo1 0.119 0.381 0.000 (multiplicity 4)
Pt1 0.173 0.673 0.500 (multiplicity 4)

energy relative to the lowest polymorph listed for this composition	0	meV/atom
E_tot	-7.26	eV per atom
DOS(E_F)	2.67	states/eV/f.u.
energy of formation from the pure elements	-133	meV/atom
magnetic moment	0.000	μB/f.u.

=====

No. 18
# LiCuNi2

LiCuNi2 after structural relaxation (PBE, the Alexandria database).

Lattice parameters (Å, degrees): 4.893 8.305 2.443 90.00 115.19 90.00
Space group C2/m (No. 12)
Asymmetric unit:
Li1 0.000 0.000 0.000 (multiplicity 2)
Cu1 0.000 0.500 0.000 (multiplicity 2)
Ni1 0.250 0.250 0.500 (multiplicity 4)

E_tot	-4.41	eV per atom
DOS(E_F)	3.53	states/eV/f.u.
energy of formation from the pure elements	-15	meV/atom
magnetic moment	0.000	μB/f.u.

=====

No. 19
# Li4Ti3AgS8

Li4Ti3AgS8 after structural relaxation (PBE, the Alexandria database).

Lattice parameters (Å, degrees): 7.1639 7.1639 18.1329 90.00 90.00 120.00
Space group R-3m (No. 166, hexagonal axes)
Asymmetric unit:
Li1 0.0000 0.0000 0.0000 (multiplicity 3)
Li2 0.0000 0.5000 0.0000 (multiplicity 9)
Ti1 0.0000 0.5000 0.5000 (multiplicity 9)
Ag1 0.0000 0.0000 0.5000 (multiplicity 3)
S1 0.0000 0.0000 0.2450 (multiplicity 6)
S2 0.0209 0.5105 0.7543 (multiplicity 18)

E_tot	-5.38	eV per atom
formation energy without anion corrections	-18.806	eV/f.u.
DOS(E_F)	5.43	states/eV/f.u.
magnetic moment	0.000	μB/f.u.

=====

No. 20
# NaZnAsS4

NaZnAsS4 after structural relaxation (PBE, the Alexandria database).

Lattice parameters (Å, degrees): 7.798 11.699 7.335 90.00 90.00 90.00
Space group Cmcm (No. 63)
Asymmetric unit:
Na1 0.000 0.000 0.000 (multiplicity 4)
Zn1 0.000 0.367 0.250 (multiplicity 4)
As1 0.000 0.363 0.750 (multiplicity 4)
S1 0.000 0.250 0.512 (multiplicity 8)
S2 0.214 0.487 0.750 (multiplicity 8)

E_tot	-3.84	eV per atom
formation energy without anion corrections	-3.162	eV/f.u.
magnetic moment	0.000	μB/f.u.

=====

No. 21
# Ag2Rh2W

Ag2Rh2W after structural relaxation (PBE, the Alexandria database).

Lattice parameters (Å, degrees): 3.552 3.552 13.896 90.00 90.00 90.00
Space group I4/mmm (No. 139)
Asymmetric unit:
Ag1 0.000 0.000 0.098 (multiplicity 4)
Rh1 0.000 0.500 0.250 (multiplicity 4)
W1 0.000 0.000 0.500 (multiplicity 2)

E_tot	-5.56	eV per atom
DOS(E_F)	5.08	states/eV/f.u.
energy of formation from the pure elements	1116	meV/atom
magnetic moment	2.607	μB/f.u.

=====

No. 22
# Rb2Cu2BiTe4

Rb2Cu2BiTe4 after structural relaxation (PBE, the Alexandria database).

Lattice parameters (Å, degrees): 16.745 4.321 8.822 90.00 111.10 90.00
Space group C2/m (No. 12)
Asymmetric unit:
Rb1 0.131 0.000 0.042 (multiplicity 4)
Cu1 0.198 0.500 0.494 (multiplicity 4)
Bi1 0.000 0.000 0.500 (multiplicity 2)
Te1 0.034 0.500 0.274 (multiplicity 4)
Te2 0.201 0.000 0.675 (multiplicity 4)

E_tot	-3.42	eV per atom
formation energy without anion corrections	-4.223	eV/f.u.
DOS(E_F)	7.71	states/eV/f.u.
magnetic moment	0.000	μB/f.u.

=====

No. 23
# Ga4Ir3

Ga4Ir3 after structural relaxation (PBE, the Alexandria database).

Lattice parameters (Å, degrees): 5.7338 5.7338 24.4120 90.00 90.00 120.00
Space group R-3m (No. 166, hexagonal axes)
Asymmetric unit:
Ga1 0.0000 0.0000 0.2454 (multiplicity 6)
Ga2 0.0052 0.5026 0.7521 (multiplicity 18)
Ir1 0.0000 0.0000 0.0000 (multiplicity 3)
Ir2 0.0000 0.0000 0.3452 (multiplicity 6)
Ir3 0.0000 0.5000 0.5000 (multiplicity 9)

E_tot	-5.62	eV per atom
DOS(E_F)	3.47	states/eV/f.u.
energy of formation from the pure elements	-96	meV/atom
magnetic moment	0.000	μB/f.u.

=====

No. 24
# MgScCuIr

MgScCuIr after structural relaxation (PBE, the Alexandria database).

Lattice parameters (Å, degrees): 6.383 6.383 6.383 90.00 90.00 90.00
Space group F-43m (No. 216)
Asymmetric unit:
Mg1 0.000 0.000 0.000 (multiplicity 4)
Sc1 0.000 0.000 0.500 (multiplicity 4)
Cu1 0.250 0.250 0.750 (multiplicity 4)
Ir1 0.250 0.250 0.250 (multiplicity 4)

E_tot	-5.72	eV per atom
DOS(E_F)	2.65	states/eV/f.u.
energy of formation from the pure elements	-502	meV/atom
magnetic moment	0.000	μB/f.u.